The following is a DFT calculation (GGA+U) of a relaxed structure of AlMoN2F.

Computed properties:
Crystal system = tetragonal
Final energy = -31.29 eV/cell

Unit cell a=3.873 b=3.873 c=3.497 alpha=90.00 beta=90.00 gamma=90.00
Element x y z (fractional)
Al 0.000 0.000 0.000
N 0.000 0.500 0.000
N 0.500 0.000 0.000
F 0.000 0.000 0.500
Mo 0.500 0.500 0.500